Compound: Ac2Sn3Au5
Source: Alexandria
Functional: PBE
Structure: optimized geometry

Structure (extended XYZ):
```
20
Lattice="-6.1126 -2.1863 2.0716 -1.9692 -8.3986 -3.4663 0.7235 -5.7683 7.2548" Properties=species:S:1:pos:R:3 pbc="T T T"
Au -6.9534 -13.0419 4.9460
Au -7.1326 -11.5308 0.4079
Au -0.4050 -3.3113 0.9141
Au -5.2074 -8.7232 3.4480
Au -5.1658 -7.7556 -1.0123
Au -3.8970 -11.9487 3.9102
Au -2.1510 -7.6300 2.4122
Au -0.2257 -4.8224 5.4523
Au -3.4614 -4.4045 1.9499
Au -2.1925 -8.5976 6.8724
Ac -1.8701 -6.1510 -0.8018
Ac -3.6830 -6.0296 5.1848
Ac -5.4883 -10.2022 6.6619
Ac -3.6754 -10.3236 0.6754
Sn -4.6480 -6.8713 1.4491
Sn -4.5845 -1.6397 1.5537
Sn -1.5282 -0.5466 0.5179
Sn -0.9638 -5.1648 2.9132
Sn -2.7104 -9.4819 4.4110
Sn -6.3946 -11.1883 2.9469
```

Computed properties:
SG = Ibam (72)
DOS(E_F) = 9.558 states/eV/cell
E = -4.28 eV/atom